A geometry-optimized AcTcB4 structure, computed with GGA-PBE.

Cell lengths 6.2654, 12.1642, 3.7986 Å; angles 90.00, 90.00, 90.00 degrees
Closest atoms and distances in Å follow each position.
Atoms (fractional coordinates):
Ac1 0.1216 0.1523 0.0000  14 B 2.86-2.97
Ac2 0.3784 0.6523 0.0000  14 B 2.86-2.97
Ac3 0.6216 0.3477 0.0000  14 B 2.86-2.97
Ac4 0.8784 0.8477 0.0000  14 B 2.86-2.97
Tc1 0.1252 0.4170 0.0000  10 B 2.39-2.45, 1 Tc 2.56
Tc2 0.3748 0.9170 0.0000  10 B 2.39-2.45, 1 Tc 2.56
Tc3 0.6252 0.0830 0.0000  10 B 2.39-2.45, 1 Tc 2.56
Tc4 0.8748 0.5830 0.0000  10 B 2.39-2.45, 1 Tc 2.56
B1 0.0192 0.6819 0.5000  2 B 1.77-1.81
B2 0.1090 0.5435 0.5000  3 B 1.73-1.78
B3 0.1499 0.9668 0.5000  2 B 1.78-1.81
B4 0.2302 0.8235 0.5000  2 B 1.81
B5 0.2698 0.3235 0.5000  2 B 1.81
B6 0.3501 0.4668 0.5000  2 B 1.78-1.81
B7 0.3910 0.0435 0.5000  3 B 1.73-1.78
B8 0.4808 0.1819 0.5000  2 B 1.77-1.81
B9 0.5192 0.8181 0.5000  2 B 1.77-1.81
B10 0.6090 0.9565 0.5000  3 B 1.73-1.78
B11 0.6499 0.5332 0.5000  2 B 1.78-1.81
B12 0.7302 0.6765 0.5000  2 B 1.81
B13 0.7698 0.1765 0.5000  2 B 1.81
B14 0.8501 0.0332 0.5000  2 B 1.78-1.81
B15 0.8910 0.4565 0.5000  3 B 1.73-1.78
B16 0.9808 0.3181 0.5000  2 B 1.77-1.81

ΔE_f	-1.9	eV/f.u.
space group	Pbam, No. 55
ρ	8.4	g/cm³